VASP calculation (PBE) on a relaxed Li2BeCd crystal.

The calculation puts the density of states at the Fermi level at 0.21 states/eV/atom. Its energy relative to the lowest polymorph listed for this composition is 222 meV/atom. The calculated formation energy is 0.245 eV/atom.

The structure belongs to space group I-42d (No. 122); the cell edges are 7.174, 7.174 and 4.980 Å and the angles 90.00°, 90.00° and 90.00°. The distinct sites, in fractional coordinates, are Li at (0.219, 0.250, 0.125), Be at (0.000, 0.000, 0.000) and Cd at (0.000, 0.000, 0.500).